Entry 1:
VASP calculation (PBE-GGA) on a relaxed Sn5Pd12Se2 crystal.

abc: 7.532 8.085 7.182
angles: 106.73 90.00 117.76
Sites, in units of the cell vectors:
Sn  0.000  0.000  0.500
Sn  0.282  0.563  0.131
Sn  0.767  0.535  0.472
Sn  0.233  0.465  0.528
Sn  0.718  0.437  0.869
Pd  0.411  0.232  0.526
Pd  0.521  0.042  0.752
Pd  0.113  0.623  0.842
Pd  0.490  0.377  0.158
Pd  0.179  0.768  0.474
Pd  0.922  0.845  0.801
Pd  0.821  0.232  0.526
Pd  0.078  0.155  0.199
Pd  0.479  0.958  0.248
Pd  0.510  0.623  0.842
Pd  0.589  0.768  0.474
Pd  0.887  0.377  0.158
Se  0.272  0.000  0.000
Se  0.728  0.000  0.000

For the total energy, the calculation gives -5.03 eV/atom. As for the energy relative to the elements, uncorrected: -0.33 eV per atom.

Entry 2:
VASP calculation (PBE-GGA) on a relaxed Sn2Pd2Se crystal.

abc: 7.379 7.379 3.746
angles: 90.00 90.00 90.00
Sites, in units of the cell vectors:
Pd  0.863  0.637  0.000
Pd  0.637  0.137  0.000
Pd  0.363  0.863  0.000
Pd  0.137  0.363  0.000
Se  0.000  0.000  0.000
Se  0.500  0.500  0.000
Sn  0.661  0.839  0.500
Sn  0.839  0.339  0.500
Sn  0.339  0.161  0.500
Sn  0.161  0.661  0.500

For the total energy, the calculation gives -4.68 eV/atom. As for the energy above the most stable polymorph in this dataset: 0 kJ/mol of formula units. As for the energy relative to the elements, uncorrected: -0.30 eV per atom.

Entry 3:
VASP calculation (PBE-GGA) on a relaxed Sn2Pd2Se crystal.

abc: 4.038 4.038 7.195
angles: 73.70 73.70 90.00
Sites, in units of the cell vectors:
Sn  0.391  0.391  0.217
Sn  0.609  0.609  0.783
Se  0.000  0.000  0.000
Pd  0.750  0.250  0.500
Pd  0.250  0.750  0.500

For the total energy, the calculation gives -4.59 eV/atom. As for the energy above the most stable polymorph in this dataset: 42 kJ/mol of formula units. As for the energy relative to the elements, uncorrected: -0.22 eV per atom.

Entry 4:
VASP calculation (PBE-GGA) on a relaxed SnPd2Se crystal.

abc: 4.598 4.598 8.715
angles: 74.70 74.70 90.00
Sites, in units of the cell vectors:
Pd  0.875  0.830  0.750
Pd  0.580  0.125  0.250
Pd  0.375  0.420  0.750
Pd  0.170  0.625  0.250
Sn  0.000  0.000  0.000
Sn  0.750  0.250  0.500
Se  0.500  0.500  0.000
Se  0.250  0.750  0.500

For the total energy, the calculation gives -4.72 eV/atom. As for the energy relative to the elements, uncorrected: -0.25 eV per atom.

Entry 5:
VASP calculation (PBE-GGA) on a relaxed SnPd5Se2 crystal.

abc: 4.039 4.039 9.847
angles: 101.83 101.83 90.00
Sites, in units of the cell vectors:
Pd  0.893  0.393  0.786
Pd  0.393  0.893  0.786
Pd  0.607  0.107  0.214
Pd  0.000  0.000  0.000
Pd  0.107  0.607  0.214
Se  0.813  0.813  0.626
Se  0.187  0.187  0.374
Sn  0.500  0.500  0.000

For the total energy, the calculation gives -5.02 eV/atom. As for the energy relative to the elements, uncorrected: -0.40 eV per atom.

Entry 6:
VASP calculation (PBE-GGA) on a relaxed SnPd2Se crystal.

abc: 4.907 6.693 9.803
angles: 90.00 90.00 90.00
Sites, in units of the cell vectors:
Pd  0.750  0.707  0.924
Pd  0.750  0.560  0.392
Pd  0.250  0.293  0.076
Pd  0.750  0.060  0.108
Pd  0.250  0.940  0.892
Pd  0.750  0.207  0.576
Pd  0.250  0.440  0.608
Pd  0.250  0.793  0.424
Sn  0.750  0.102  0.838
Sn  0.750  0.602  0.662
Sn  0.250  0.398  0.338
Sn  0.250  0.898  0.162
Se  0.750  0.439  0.128
Se  0.250  0.561  0.872
Se  0.250  0.061  0.628
Se  0.750  0.939  0.372

For the total energy, the calculation gives -4.80 eV/atom. As for the energy relative to the elements, uncorrected: -0.33 eV per atom.